VASP calculation (GGA+U) on a relaxed VCoGeO6 crystal.

Summary:
The value obtained for the uncorrected energy is -6.570 eV per atom. The crystal system is trigonal. The value obtained for the calculated volume is 91.8 Å³/f.u.

Cell: 4.922 4.922 8.754 Å, 90.00 90.00 120.00°
Fractional coordinates of all 18 atoms:
V 0.333 0.667 0.250
V 0.667 0.333 0.750
Co 0.000 0.000 0.000
Co 0.000 0.000 0.500
Ge 0.333 0.667 0.750
Ge 0.667 0.333 0.250
O 0.002 0.350 0.132
O 0.002 0.652 0.368
O 0.348 0.350 0.368
O 0.348 0.998 0.132
O 0.350 0.002 0.632
O 0.350 0.348 0.868
O 0.650 0.652 0.132
O 0.650 0.998 0.368
O 0.652 0.002 0.868
O 0.652 0.650 0.632
O 0.998 0.348 0.632
O 0.998 0.650 0.868